# 1
The following is a DFT calculation (GGA-PBE) of a geometry-optimized SmHoInPb structure.

Output
The symmetry is I-4m2. The value obtained for the final energy is -4.39 eV per atom. Its density of states at the Fermi level is 3.28 states/eV/cell. Its polymorph energy (0 for the lowest one) is 0.0 kJ/mol of atoms. Its spin magnetization is 0.00 μB per formula unit.

Unit cell a=5.6927 b=5.6927 c=5.6927 alpha=127.87 beta=127.87 gamma=76.83
Sites, in units of the cell vectors:
Sm 0.0000 0.0000 0.0000
Ho 0.5000 0.5000 0.0000
In 0.7500 0.2500 0.5000
Pb 0.2500 0.7500 0.5000

=====

# 2
The following is a DFT calculation (GGA-PBE) of a geometry-optimized PmNd2Cd structure.

Output
The symmetry is Fm-3m. The value obtained for the final energy is -3.83 eV per atom. Its density of states at the Fermi level is 5.31 states/eV/cell. Its polymorph energy (0 for the lowest one) is 11.8 kJ/mol of atoms. Its spin magnetization is 0.00 μB per formula unit.

Unit cell a=5.5982 b=5.5982 c=5.5982 alpha=60.00 beta=60.00 gamma=60.00
Sites, in units of the cell vectors:
Pm 0.0000 0.0000 0.0000
Nd 0.2500 0.2500 0.2500
Nd 0.7500 0.7500 0.7500
Cd 0.5000 0.5000 0.5000

=====

# 3
The following is a DFT calculation (GGA-PBE) of a geometry-optimized CePr2Ge3Ir4 structure.

Output
The symmetry is P-4m2. The value obtained for the final energy is -7.24 eV per atom. Its density of states at the Fermi level is 5.34 states/eV/cell. Its spin magnetization is 0.00 μB per formula unit.

Unit cell a=4.2747 b=4.2747 c=11.0890 alpha=90.00 beta=90.00 gamma=90.00
Sites, in units of the cell vectors:
Ce 0.0000 0.0000 0.0000
Pr 0.0000 0.5000 0.7255
Pr 0.5000 0.0000 0.2745
Ge 0.0000 0.5000 0.3771
Ge 0.5000 0.0000 0.6229
Ge 0.5000 0.5000 0.0000
Ir 0.0000 0.0000 0.5000
Ir 0.0000 0.5000 0.1527
Ir 0.5000 0.0000 0.8473
Ir 0.5000 0.5000 0.5000

=====

# 4
The following is a DFT calculation (GGA-PBE) of a geometry-optimized Rb3NaTl8 structure.

Output
The symmetry is R3m. The value obtained for the final energy is -1.99 eV per atom. Its density of states at the Fermi level is 8.40 states/eV/cell. Its spin magnetization is 0.00 μB per formula unit.

Unit cell a=11.6182 b=11.6182 c=11.6182 alpha=33.95 beta=33.95 gamma=33.95
Sites, in units of the cell vectors:
Rb 0.0000 0.0000 0.0000
Rb 0.1253 0.1253 0.1253
Rb 0.6216 0.6216 0.6216
Na 0.4971 0.4971 0.4971
Tl 0.0597 0.0597 0.5599
Tl 0.0597 0.5599 0.0597
Tl 0.0665 0.5620 0.5620
Tl 0.3116 0.3116 0.3116
Tl 0.5599 0.0597 0.0597
Tl 0.5620 0.0665 0.5620
Tl 0.5620 0.5620 0.0665
Tl 0.8117 0.8117 0.8117

=====

# 5
The following is a DFT calculation (GGA-PBE) of a geometry-optimized GaFe2Co2 structure.

Output
The symmetry is P4/mbm. The value obtained for the final energy is -6.76 eV per atom. Its density of states at the Fermi level is 7.85 states/eV/cell. Its polymorph energy (0 for the lowest one) is 11.7 kJ/mol of atoms. Its spin magnetization is 7.72 μB per formula unit.

Unit cell a=6.7122 b=6.7122 c=2.7503 alpha=90.00 beta=90.00 gamma=90.00
Sites, in units of the cell vectors:
Ga 0.0000 0.0000 0.0000
Ga 0.5000 0.5000 0.0000
Fe 0.1615 0.3385 0.5000
Fe 0.3385 0.8385 0.5000
Fe 0.6615 0.1615 0.5000
Fe 0.8385 0.6615 0.5000
Co 0.1340 0.6340 0.0000
Co 0.3660 0.1340 0.0000
Co 0.6340 0.8660 0.0000
Co 0.8660 0.3660 0.0000

=====

# 6
The following is a DFT calculation (GGA-PBE) of a geometry-optimized TcSn2Mo structure.

Output
The symmetry is P-1. The value obtained for the final energy is -7.12 eV per atom. Its density of states at the Fermi level is 5.69 states/eV/cell. Its polymorph energy (0 for the lowest one) is 18.0 kJ/mol of atoms. Its spin magnetization is 0.00 μB per formula unit.

Unit cell a=5.4341 b=5.5307 c=5.6413 alpha=101.13 beta=105.57 gamma=99.21
Sites, in units of the cell vectors:
Tc 0.1483 0.1013 0.3556
Tc 0.8517 0.8987 0.6444
Sn 0.2801 0.6562 0.4938
Sn 0.3363 0.2259 0.9072
Sn 0.6637 0.7741 0.0928
Sn 0.7199 0.3438 0.5062
Mo 0.1185 0.7156 0.9727
Mo 0.8815 0.2844 0.0273

=====

# 7
The following is a DFT calculation (GGA-PBE) of a geometry-optimized NdSm4Se5 structure.

Output
The uncorrected formation energy is -1.82 eV/atom. The symmetry is C2/m. The value obtained for the final energy is -5.93 eV per atom. Its density of states at the Fermi level is 4.61 states/eV/cell. Its polymorph energy (0 for the lowest one) is 0.0 kJ/mol of atoms. Its spin magnetization is 0.00 μB per formula unit.

Unit cell a=7.2575 b=7.2575 c=10.2523 alpha=118.27 beta=118.27 gamma=33.50
Sites, in units of the cell vectors:
Nd 0.0000 0.0000 0.0000
Sm 0.2014 0.2014 0.7996
Sm 0.4009 0.4009 0.6016
Sm 0.5991 0.5991 0.3984
Sm 0.7986 0.7986 0.2004
Se 0.0000 0.0000 0.5000
Se 0.2013 0.2013 0.3032
Se 0.3978 0.3978 0.1015
Se 0.6022 0.6022 0.8985
Se 0.7987 0.7987 0.6968

=====

# 8
The following is a DFT calculation (GGA-PBE) of a geometry-optimized TlV2Re structure.

Output
The symmetry is Fm-3m. The value obtained for the final energy is -7.83 eV per atom. Its density of states at the Fermi level is 3.41 states/eV/cell. Its polymorph energy (0 for the lowest one) is 0.0 kJ/mol of atoms. Its spin magnetization is 1.93 μB per formula unit.

Unit cell a=4.4923 b=4.4923 c=4.4923 alpha=60.00 beta=60.00 gamma=60.00
Sites, in units of the cell vectors:
Tl 0.0000 0.0000 0.0000
V 0.2500 0.2500 0.2500
V 0.7500 0.7500 0.7500
Re 0.5000 0.5000 0.5000

=====

# 9
The following is a DFT calculation (GGA-PBE) of a geometry-optimized Na6Tl2Cd3 structure.

Output
The symmetry is Cmmm. The value obtained for the final energy is -1.43 eV per atom. Its density of states at the Fermi level is 5.58 states/eV/cell. Its polymorph energy (0 for the lowest one) is 0.0 kJ/mol of atoms. Its spin magnetization is 0.00 μB per formula unit.

Unit cell a=9.8876 b=9.8876 c=3.4805 alpha=90.00 beta=90.00 gamma=99.79
Sites, in units of the cell vectors:
Na 0.1533 0.4166 0.0000
Na 0.1594 0.8406 0.0000
Na 0.4166 0.1533 0.0000
Na 0.5834 0.8467 0.0000
Na 0.8406 0.1594 0.0000
Na 0.8467 0.5834 0.0000
Tl 0.1259 0.1259 0.5000
Tl 0.8741 0.8741 0.5000
Cd 0.3353 0.6647 0.5000
Cd 0.5000 0.5000 0.0000
Cd 0.6647 0.3353 0.5000

=====

# 10
The following is a DFT calculation (GGA-PBE) of a geometry-optimized KSi3Pd5 structure.

Output
The uncorrected formation energy is -0.52 eV/atom. The symmetry is Cmcm. The value obtained for the final energy is -5.34 eV per atom. Its density of states at the Fermi level is 5.16 states/eV/cell. Its spin magnetization is 0.00 μB per formula unit.

Unit cell a=6.7340 b=6.7340 c=12.9330 alpha=90.00 beta=90.00 gamma=146.39
Sites, in units of the cell vectors:
K 0.1647 0.8353 0.7500
K 0.8353 0.1647 0.2500
Si 0.0999 0.9001 0.2500
Si 0.3814 0.6186 0.0322
Si 0.3814 0.6186 0.4678
Si 0.6186 0.3814 0.5322
Si 0.6186 0.3814 0.9678
Si 0.9001 0.0999 0.7500
Pd 0.0000 0.0000 0.0000
Pd 0.0000 0.0000 0.5000
Pd 0.2010 0.7990 0.0676
Pd 0.2010 0.7990 0.4324
Pd 0.4488 0.5512 0.6444
Pd 0.4488 0.5512 0.8556
Pd 0.5512 0.4488 0.1444
Pd 0.5512 0.4488 0.3556
Pd 0.7990 0.2010 0.5676
Pd 0.7990 0.2010 0.9324

=====

# 11
The following is a DFT calculation (GGA-PBE) of a geometry-optimized La6CeTl5 structure.

Output
The symmetry is Immm. The value obtained for the final energy is -4.26 eV per atom. Its density of states at the Fermi level is 18.65 states/eV/cell. Its polymorph energy (0 for the lowest one) is 0.0 kJ/mol of atoms. Its spin magnetization is 4.72 μB per formula unit.

Unit cell a=9.8665 b=9.8665 c=9.8665 alpha=146.52 beta=132.96 gamma=58.96
Sites, in units of the cell vectors:
La 0.0753 0.3292 0.7461
La 0.2367 0.0000 0.2367
La 0.4169 0.6708 0.7461
La 0.5831 0.3292 0.2539
La 0.7633 0.0000 0.7633
La 0.9247 0.6708 0.2539
Ce 0.5000 0.5000 0.0000
Tl 0.0000 0.5000 0.5000
Tl 0.1673 0.1673 0.0000
Tl 0.3463 0.8463 0.5000
Tl 0.6537 0.1537 0.5000
Tl 0.8327 0.8327 0.0000

=====

# 12
The following is a DFT calculation (GGA-PBE) of a geometry-optimized Ni2RhCl structure.

Output
The uncorrected formation energy is 0.54 eV/atom. The symmetry is Pmmm. The value obtained for the final energy is -4.65 eV per atom. Its density of states at the Fermi level is 6.65 states/eV/cell. Its polymorph energy (0 for the lowest one) is 32.7 kJ/mol of atoms. Its spin magnetization is 1.69 μB per formula unit.

Unit cell a=2.7861 b=4.3387 c=4.4283 alpha=90.00 beta=90.00 gamma=90.00
Sites, in units of the cell vectors:
Ni 0.0000 0.0000 0.0000
Ni 0.5000 0.5000 0.0000
Rh 0.0000 0.5000 0.5000
Cl 0.5000 0.0000 0.5000

=====

Question: Which value of final energy does entry 7 give?
Answer: -5.93 eV per atom

=====

Question: What is the final energy in the ninth record?
Answer: -1.43 eV per atom

=====

Question: The lowest density of states at the Fermi level belongs to which entry?
Answer: SmHoInPb

=====

Question: Among the records above, which one has the lowest final energy?
Answer: TlV2Re